(1)
First-principles (PBE-GGA) data for a relaxed structure of MgTiCl3, as listed in Alexandria via LeMat-Bulk.

The formation energy (no corrections) comes out at -0.948 eV/atom. The calculation puts the total energy at -3.954 eV/atom. Its crystal system is cubic. The value obtained for the size of the total moment is 2.29 μB/f.u. The value obtained for the energy above the most stable polymorph in this dataset is 0 meV per atom.

The structure belongs to space group Pm-3m (No. 221); the cell edges are 4.960, 4.960 and 4.960 Å and the angles 90.00°, 90.00° and 90.00°. Symmetry generates all atoms from Mg at (0.000, 0.000, 0.000), Ti at (0.500, 0.500, 0.500) and Cl at (0.000, 0.500, 0.500).

(2)
First-principles (PBE-GGA) data for a relaxed structure of MgTi2Cl, as listed in Alexandria via LeMat-Bulk.

The formation energy (no corrections) comes out at 0.449 eV/atom. The calculation puts the total energy at -4.359 eV/atom. Its crystal system is cubic. The value obtained for the size of the total moment is 1.15 μB/f.u. The value obtained for the energy above the most stable polymorph in this dataset is 59 meV per atom.

The structure belongs to space group Fm-3m (No. 225); the cell edges are 6.659, 6.659 and 6.659 Å and the angles 90.00°, 90.00° and 90.00°. Symmetry generates all atoms from Mg at (0.000, 0.000, 0.000), Ti at (0.250, 0.250, 0.250) and Cl at (0.000, 0.000, 0.500).

(3)
First-principles (PBE-GGA) data for a relaxed structure of MgTi2Cl, as listed in Alexandria via LeMat-Bulk.

The formation energy (no corrections) comes out at 0.390 eV/atom. The calculation puts the total energy at -4.418 eV/atom. Its crystal system is tetragonal. The value obtained for the size of the total moment is 0.00 μB/f.u. The value obtained for the energy above the most stable polymorph in this dataset is 0 meV per atom.

The structure belongs to space group I-42d (No. 122); the cell edges are 4.174, 4.174 and 18.791 Å and the angles 90.00°, 90.00° and 90.00°. Symmetry generates all atoms from Mg at (0.000, 0.000, 0.000), Ti at (0.127, 0.250, 0.625) and Cl at (0.000, 0.000, 0.500).

(4)
First-principles (PBE-GGA) data for a relaxed structure of MgTiCl2, as listed in Alexandria via LeMat-Bulk.

The formation energy (no corrections) comes out at -0.401 eV/atom. The calculation puts the total energy at -3.697 eV/atom. Its crystal system is tetragonal. The value obtained for the size of the total moment is 3.68 μB/f.u. The value obtained for the energy above the most stable polymorph in this dataset is 541 meV per atom.

The structure belongs to space group I-42d (No. 122); the cell edges are 5.817, 5.817 and 11.795 Å and the angles 90.00°, 90.00° and 90.00°. Symmetry generates all atoms from Mg at (0.000, 0.000, 0.000), Ti at (0.000, 0.000, 0.500) and Cl at (0.236, 0.250, 0.125).

(5)
First-principles (PBE-GGA) data for a relaxed structure of MgTi3Cl, as listed in Alexandria via LeMat-Bulk.

The formation energy (no corrections) comes out at 1.300 eV/atom. The calculation puts the total energy at -4.125 eV/atom. Its crystal system is cubic. The value obtained for the size of the total moment is 4.28 μB/f.u. The value obtained for the energy above the most stable polymorph in this dataset is 1262 meV per atom.

The structure belongs to space group Pm-3m (No. 221); the cell edges are 4.992, 4.992 and 4.992 Å and the angles 90.00°, 90.00° and 90.00°. Symmetry generates all atoms from Mg at (0.000, 0.000, 0.000), Ti at (0.000, 0.000, 0.500) and Cl at (0.500, 0.500, 0.500).

(6)
First-principles (PBE-GGA) data for a relaxed structure of MgTiCl2, as listed in Alexandria via LeMat-Bulk.

The formation energy (no corrections) comes out at -0.942 eV/atom. The calculation puts the total energy at -4.238 eV/atom. Its crystal system is trigonal. The value obtained for the size of the total moment is 0.00 μB/f.u. The value obtained for the energy above the most stable polymorph in this dataset is 0 meV per atom.

The structure belongs to space group R-3m (No. 166, hexagonal axes); the cell edges are 3.2272, 3.2272 and 28.4554 Å and the angles 90.00°, 90.00° and 120.00°. Symmetry generates all atoms from Mg at (0.0000, 0.0000, 0.0000), Ti at (0.0000, 0.0000, 0.5000) and Cl at (0.0000, 0.0000, 0.1086).

(7)
First-principles (PBE-GGA) data for a relaxed structure of MgTiCl2, as listed in Alexandria via LeMat-Bulk.

The formation energy (no corrections) comes out at -0.337 eV/atom. The calculation puts the total energy at -3.633 eV/atom. Its crystal system is cubic. The value obtained for the size of the total moment is 2.05 μB/f.u. The value obtained for the energy above the most stable polymorph in this dataset is 605 meV per atom.

The structure belongs to space group Fm-3m (No. 225); the cell edges are 6.751, 6.751 and 6.751 Å and the angles 90.00°, 90.00° and 90.00°. Symmetry generates all atoms from Mg at (0.000, 0.000, 0.000), Ti at (0.000, 0.000, 0.500) and Cl at (0.250, 0.250, 0.250).

(8)
First-principles (PBE-GGA) data for a relaxed structure of MgTi3Cl, as listed in Alexandria via LeMat-Bulk.

The formation energy (no corrections) comes out at 0.038 eV/atom. The calculation puts the total energy at -5.387 eV/atom. Its crystal system is cubic. The value obtained for the size of the total moment is 0.00 μB/f.u. The value obtained for the energy above the most stable polymorph in this dataset is 0 meV per atom.

The structure belongs to space group Pm-3m (No. 221); the cell edges are 4.522, 4.522 and 4.522 Å and the angles 90.00°, 90.00° and 90.00°. Symmetry generates all atoms from Mg at (0.000, 0.000, 0.000), Ti at (0.000, 0.500, 0.500) and Cl at (0.500, 0.500, 0.500).

(9)
First-principles (PBE-GGA) data for a relaxed structure of Mg3TiCl, as listed in Alexandria via LeMat-Bulk.

The formation energy (no corrections) comes out at 0.299 eV/atom. The calculation puts the total energy at -2.606 eV/atom. Its crystal system is cubic. The value obtained for the size of the total moment is 2.68 μB/f.u. The value obtained for the energy above the most stable polymorph in this dataset is 0 meV per atom.

The structure belongs to space group Pm-3m (No. 221); the cell edges are 4.931, 4.931 and 4.931 Å and the angles 90.00°, 90.00° and 90.00°. Symmetry generates all atoms from Mg at (0.000, 0.000, 0.500), Ti at (0.500, 0.500, 0.500) and Cl at (0.000, 0.000, 0.000).

(10)
First-principles (PBE-GGA) data for a relaxed structure of MgTiTlCl6, as listed in Alexandria via LeMat-Bulk.

The formation energy (no corrections) comes out at -1.551 eV/atom. The calculation puts the total energy at -4.100 eV/atom. Its crystal system is trigonal. The value obtained for the size of the total moment is 1.00 μB/f.u.

The structure belongs to space group P-31c (No. 163); the cell edges are 6.5033, 6.5033 and 14.2010 Å and the angles 90.00°, 90.00° and 120.00°. Symmetry generates all atoms from Mg at (0.3333, 0.6667, 0.2500), Ti at (0.3333, 0.6667, 0.7500), Tl at (0.0000, 0.0000, 0.0000) and Cl at (0.0090, 0.3806, 0.6509).

(11)
First-principles (PBE-GGA) data for a relaxed structure of Mg4TlCl8, as listed in Alexandria via LeMat-Bulk.

The formation energy (no corrections) comes out at -1.572 eV/atom. The calculation puts the total energy at -3.381 eV/atom. Its crystal system is monoclinic. The value obtained for the size of the total moment is 0.98 μB/f.u.

The structure belongs to space group C2/m (No. 12); the cell edges are 12.729, 7.348 and 10.551 Å and the angles 90.00°, 115.84° and 90.00°. Symmetry generates all atoms from Mg at (0.000, 0.248, 0.000), Mg at (0.249, 0.000, 0.998), Tl at (0.000, 0.500, 0.500), Cl at (0.030, 0.000, 0.854), Cl at (0.031, 0.500, 0.855) and Cl at (0.219, 0.249, 0.145).

(12)
First-principles (PBE-GGA) data for a relaxed structure of Mg3TlCl, as listed in Alexandria via LeMat-Bulk.

The formation energy (no corrections) comes out at 0.025 eV/atom. The calculation puts the total energy at -1.774 eV/atom. Its crystal system is cubic. The value obtained for the size of the total moment is 0.00 μB/f.u. The value obtained for the energy above the most stable polymorph in this dataset is 148 meV per atom.

The structure belongs to space group Pm-3m (No. 221); the cell edges are 5.125, 5.125 and 5.125 Å and the angles 90.00°, 90.00° and 90.00°. Symmetry generates all atoms from Mg at (0.000, 0.000, 0.500), Tl at (0.500, 0.500, 0.500) and Cl at (0.000, 0.000, 0.000).

(13)
First-principles (PBE-GGA) data for a relaxed structure of MgTlCl2, as listed in Alexandria via LeMat-Bulk.

The formation energy (no corrections) comes out at -1.002 eV/atom. The calculation puts the total energy at -2.915 eV/atom. Its crystal system is tetragonal. The value obtained for the size of the total moment is 0.00 μB/f.u. The value obtained for the energy above the most stable polymorph in this dataset is 267 meV per atom.

The structure belongs to space group I-42d (No. 122); the cell edges are 7.737, 7.737 and 8.386 Å and the angles 90.00°, 90.00° and 90.00°. Symmetry generates all atoms from Mg at (0.000, 0.000, 0.000), Tl at (0.000, 0.000, 0.500) and Cl at (0.128, 0.750, 0.125).

(14)
First-principles (PBE-GGA) data for a relaxed structure of MgTl2Cl5, as listed in Alexandria via LeMat-Bulk.

The formation energy (no corrections) comes out at -1.144 eV/atom. The calculation puts the total energy at -3.089 eV/atom. Its crystal system is orthorhombic. The value obtained for the size of the total moment is 0.00 μB/f.u.

The structure belongs to space group Cmcm (No. 63); the cell edges are 5.575, 14.103 and 13.294 Å and the angles 90.00°, 90.00° and 90.00°. Symmetry generates all atoms from Mg at (0.000, 0.184, 0.250), Tl at (0.000, 0.147, 0.581), Cl at (0.000, 0.062, 0.119), Cl at (0.000, 0.300, 0.750) and Cl at (0.000, 0.310, 0.112).

(15)
First-principles (PBE-GGA) data for a relaxed structure of MgTlCl2, as listed in Alexandria via LeMat-Bulk.

The formation energy (no corrections) comes out at -0.967 eV/atom. The calculation puts the total energy at -2.880 eV/atom. Its crystal system is tetragonal. The value obtained for the size of the total moment is 0.00 μB/f.u. The value obtained for the energy above the most stable polymorph in this dataset is 302 meV per atom.

The structure belongs to space group P4/mmm (No. 123); the cell edges are 3.236, 3.236 and 11.183 Å and the angles 90.00°, 90.00° and 90.00°. Symmetry generates all atoms from Mg at (0.000, 0.000, 0.000), Tl at (0.000, 0.000, 0.500) and Cl at (0.500, 0.500, 0.135).

(16)
First-principles (PBE-GGA) data for a relaxed structure of Mg2Tl2Cl, as listed in Alexandria via LeMat-Bulk.

The formation energy (no corrections) comes out at -0.287 eV/atom. The calculation puts the total energy at -2.241 eV/atom. Its crystal system is tetragonal. The value obtained for the size of the total moment is 0.00 μB/f.u.

The structure belongs to space group P4/mbm (No. 127); the cell edges are 7.519, 7.519 and 4.602 Å and the angles 90.00°, 90.00° and 90.00°. Symmetry generates all atoms from Mg at (0.153, 0.347, 0.000), Tl at (0.152, 0.652, 0.500) and Cl at (0.000, 0.000, 0.000).

(17)
First-principles (PBE-GGA) data for a relaxed structure of MgTlCl4, as listed in Alexandria via LeMat-Bulk.

The formation energy (no corrections) comes out at -1.222 eV/atom. The calculation puts the total energy at -3.113 eV/atom. Its crystal system is monoclinic. The value obtained for the size of the total moment is 0.00 μB/f.u. The value obtained for the energy above the most stable polymorph in this dataset is 0 meV per atom.

The structure belongs to space group P2/m (No. 10); the cell edges are 6.520, 3.858 and 7.008 Å and the angles 90.00°, 92.98° and 90.00°. Symmetry generates all atoms from Mg at (0.000, 0.000, 0.000), Tl at (0.000, 0.500, 0.500), Cl at (0.213, 0.500, 0.869) and Cl at (0.232, 0.000, 0.298).

(18)
First-principles (PBE-GGA) data for a relaxed structure of MgTlCl2, as listed in Alexandria via LeMat-Bulk.

The formation energy (no corrections) comes out at -1.269 eV/atom. The calculation puts the total energy at -3.182 eV/atom. Its crystal system is trigonal. The value obtained for the size of the total moment is 0.00 μB/f.u. The value obtained for the energy above the most stable polymorph in this dataset is 0 meV per atom.

The structure belongs to space group R-3m (No. 166, hexagonal axes); the cell edges are 3.6083, 3.6083 and 33.3805 Å and the angles 90.00°, 90.00° and 120.00°. Symmetry generates all atoms from Mg at (0.0000, 0.0000, 0.0000), Tl at (0.0000, 0.0000, 0.5000) and Cl at (0.0000, 0.0000, 0.2914).

(19)
First-principles (PBE-GGA) data for a relaxed structure of Mg3Tl4Cl10, as listed in Alexandria via LeMat-Bulk.

The formation energy (no corrections) comes out at -1.449 eV/atom. The calculation puts the total energy at -3.374 eV/atom. Its crystal system is tetragonal. The value obtained for the size of the total moment is 0.00 μB/f.u.

The structure belongs to space group I4/mmm (No. 139); the cell edges are 5.026, 5.026 and 36.035 Å and the angles 90.00°, 90.00° and 90.00°. Symmetry generates all atoms from Mg at (0.000, 0.000, 0.000), Mg at (0.000, 0.000, 0.141), Tl at (0.000, 0.000, 0.299), Tl at (0.000, 0.000, 0.432), Cl at (0.000, 0.000, 0.070), Cl at (0.000, 0.000, 0.209), Cl at (0.000, 0.500, 0.000) and Cl at (0.000, 0.500, 0.139).

(20)
First-principles (PBE-GGA) data for a relaxed structure of MgTlCl2, as listed in Alexandria via LeMat-Bulk.

The formation energy (no corrections) comes out at -0.473 eV/atom. The calculation puts the total energy at -2.387 eV/atom. Its crystal system is cubic. The value obtained for the size of the total moment is 0.94 μB/f.u. The value obtained for the energy above the most stable polymorph in this dataset is 796 meV per atom.

The structure belongs to space group F-43m (No. 216); the cell edges are 7.421, 7.421 and 7.421 Å and the angles 90.00°, 90.00° and 90.00°. Symmetry generates all atoms from Mg at (0.000, 0.000, 0.000), Tl at (0.250, 0.250, 0.750), Cl at (0.000, 0.000, 0.500) and Cl at (0.250, 0.250, 0.250).